A plane-wave DFT calculation with PBE with a Hubbard U was carried out for crystalline KHf2WO8 at its relaxed geometry.

Total moment, μB per cell: 1.01
Symmetry: Cmmm (65)
Total energy, eV/atom: -8.151

The structure in extended XYZ format:
```
12
Lattice="4.877 0.039 -0.003 0.081 4.872 -0.005 0.005 0.007 6.919" Properties=species:S:1:pos:R:3 pbc="T T T"
K 0.002 0.004 3.459
Hf 2.483 2.461 5.274
Hf 2.480 2.457 1.636
W 0.000 0.000 0.000
O 1.048 3.894 1.340
O 3.510 3.484 6.913
O 3.912 1.019 1.341
O 3.914 1.024 5.570
O 1.452 1.434 -0.002
O 1.051 3.899 5.569
O 3.224 3.200 3.454
O 1.738 1.718 3.457
```